Entry 1:
The following is a PBEsol calculation of RbAs2BrCl after structural relaxation, from the Alexandria database.

Values from the calculation:
Calculated total energy: -1.95 eV/atom

a b c (Å): 6.1514 7.1531 7.1531
angles (deg): 90.00 90.00 90.00
Site moments in Bohr magnetons follow the coordinates.
Positions (direct):
As  0.0000  0.0000  0.5000  1.21
As  0.0000  0.5000  0.0000  1.21
Br  0.5000  0.0000  0.0000  -0.07
Rb  0.0000  0.0000  0.0000  0.03
Cl  0.5000  0.5000  0.5000  0.20

=====

Entry 2:
The following is a PBEsol calculation of CrAu2C2 after structural relaxation, from the Alexandria database.

Values from the calculation:
Calculated total energy: -5.96 eV/atom
DFT formation energy: 1520 meV per atom

a b c (Å): 2.5890 2.5890 8.8935
angles (deg): 98.37 98.37 90.00
Positions (direct):
Cr  0.0000  0.0000  0.0000
C  0.2500  0.7500  0.5000
C  0.7500  0.2500  0.5000
Au  0.3838  0.3838  0.7675
Au  0.6162  0.6162  0.2325

=====

Entry 3:
The following is a PBEsol calculation of NbSiNi after structural relaxation, from the Alexandria database.

Values from the calculation:
Calculated total energy: -8.36 eV/atom

a b c (Å): 3.6658 6.1871 7.0321
angles (deg): 90.00 90.00 90.00
Positions (direct):
Ni  0.2500  0.1529  0.5670
Ni  0.7500  0.8471  0.4330
Ni  0.2500  0.6529  0.9330
Ni  0.7500  0.3471  0.0670
Nb  0.2500  0.0188  0.1764
Nb  0.7500  0.9812  0.8236
Nb  0.2500  0.5188  0.3236
Nb  0.7500  0.4812  0.6764
Si  0.2500  0.7807  0.6170
Si  0.7500  0.2193  0.3830
Si  0.2500  0.2807  0.8830
Si  0.7500  0.7193  0.1170